i:
VASP calculation (PBE) on crystalline TiCoBRu2 at its relaxed geometry.

abc: 4.067 4.067 3.789
angles: 90.00 90.00 90.00
Positions (direct):
Ti1 0.000 0.000 0.000
Co1 0.500 0.500 0.000
B1 0.500 0.500 0.500
Ru1 0.000 0.500 0.500
Ru2 0.500 0.000 0.500

**DOS(E_F)**: 1.9 states/eV per cell
**Calculated volume**: 62.66 Å³ per cell
**Magnetic moment**: 0.000 μB per atom
**Space group**: No. 123

---

ii:
VASP calculation (PBE) on crystalline TiCoBRu2 at its relaxed geometry.

abc: 4.451 4.451 4.058
angles: 90.00 90.00 90.00
Positions (direct):
Ti1 0.000 0.000 0.000
Co1 0.500 0.500 0.500
B1 0.000 0.000 0.500
Ru1 0.000 0.500 0.000
Ru2 0.500 0.000 0.000

**DOS(E_F)**: 8.1 states/eV per cell
**Calculated volume**: 80.40 Å³ per cell
**Magnetic moment**: 0.004 μB per atom
**Space group**: No. 123

---

Which is most stable? The ranking, best first, is i, ii.

---

i:
VASP calculation (PBE) on crystalline ScCo4B4 at its relaxed geometry.

abc: 6.770 6.770 3.849
angles: 90.00 90.00 90.00
Positions (direct):
Sc1 0.250 0.250 0.250
Sc2 0.750 0.750 0.750
Co1 0.112 0.626 0.138
Co2 0.126 0.888 0.638
Co3 0.374 0.612 0.638
Co4 0.388 0.874 0.138
Co5 0.612 0.126 0.862
Co6 0.626 0.388 0.362
Co7 0.874 0.112 0.362
Co8 0.888 0.374 0.862
B1 0.058 0.917 0.142
B2 0.083 0.558 0.642
B3 0.417 0.942 0.642
B4 0.442 0.583 0.142
B5 0.558 0.417 0.858
B6 0.583 0.058 0.358
B7 0.917 0.442 0.358
B8 0.942 0.083 0.858

**DOS(E_F)**: 9.2 states/eV per cell
**Calculated volume**: 176.41 Å³ per cell
**Magnetic moment**: 0.000 μB per atom
**Space group**: No. 86

---

ii:
VASP calculation (PBE) on crystalline ScCo4B4 at its relaxed geometry.

abc: 4.945 4.945 6.837
angles: 90.00 90.00 90.00
Positions (direct):
Sc1 0.250 0.750 0.250
Sc2 0.750 0.250 0.750
Co1 0.003 0.750 0.611
Co2 0.250 0.503 0.889
Co3 0.250 0.997 0.889
Co4 0.497 0.750 0.611
Co5 0.503 0.250 0.389
Co6 0.750 0.003 0.111
Co7 0.750 0.497 0.111
Co8 0.997 0.250 0.389
B1 0.074 0.250 0.093
B2 0.250 0.074 0.593
B3 0.250 0.426 0.593
B4 0.426 0.250 0.093
B5 0.574 0.750 0.907
B6 0.750 0.574 0.407
B7 0.750 0.926 0.407
B8 0.926 0.750 0.907

**DOS(E_F)**: 11.5 states/eV per cell
**Calculated volume**: 167.18 Å³ per cell
**Magnetic moment**: 0.000 μB per atom
**Space group**: No. 137

---

Which is most stable? The ranking, best first, is ii, i.

---

i:
VASP calculation (PBE) on crystalline Co2BSe at its relaxed geometry.

abc: 6.037 6.037 6.037
angles: 134.59 134.59 66.17
Positions (direct):
Co1 0.053 0.625 0.928
Co2 0.375 0.303 0.428
Co3 0.697 0.125 0.072
Co4 0.875 0.947 0.572
B1 0.000 0.000 0.000
B2 0.750 0.250 0.500
Se1 0.250 0.750 0.500
Se2 0.500 0.500 0.000

**DOS(E_F)**: 3.6 states/eV per cell
**Calculated volume**: 109.84 Å³ per cell
**Magnetic moment**: 0.000 μB per atom
**Space group**: No. 122

---

ii:
VASP calculation (PBE) on crystalline Co2BSe at its relaxed geometry.

abc: 3.957 3.957 3.957
angles: 60.00 60.00 60.00
Positions (direct):
Co1 0.250 0.250 0.250
Co2 0.750 0.750 0.750
B1 0.000 0.000 0.000
Se1 0.500 0.500 0.500

**DOS(E_F)**: 3.6 states/eV per cell
**Calculated volume**: 43.80 Å³ per cell
**Magnetic moment**: 0.498 μB per atom
**Space group**: No. 225

---

Which is most stable? The ranking, best first, is i, ii.

---

i:
VASP calculation (PBE) on crystalline CoB3Se at its relaxed geometry.

abc: 3.885 3.885 3.885
angles: 90.00 90.00 90.00
Positions (direct):
Co1 0.000 0.000 0.000
B1 0.000 0.000 0.500
B2 0.000 0.500 0.000
B3 0.500 0.000 0.000
Se1 0.500 0.500 0.500

**DOS(E_F)**: 2.4 states/eV per cell
**Calculated volume**: 58.62 Å³ per cell
**Magnetic moment**: 0.000 μB per atom
**Space group**: No. 221

---

ii:
VASP calculation (PBE) on crystalline CoB3Se at its relaxed geometry.

abc: 4.046 4.046 4.046
angles: 90.00 90.00 90.00
Positions (direct):
Co1 0.000 0.000 0.000
B1 0.000 0.500 0.500
B2 0.500 0.000 0.500
B3 0.500 0.500 0.000
Se1 0.500 0.500 0.500

**DOS(E_F)**: 5.1 states/eV per cell
**Calculated volume**: 66.24 Å³ per cell
**Magnetic moment**: 0.367 μB per atom
**Space group**: No. 221

---

Which is most stable? The ranking, best first, is i, ii.

---

i:
VASP calculation (PBE) on crystalline SmCoB2 at its relaxed geometry.

abc: 5.259 5.259 5.259
angles: 38.42 38.42 38.42
Positions (direct):
Sm1 0.000 0.000 0.000
Co1 0.500 0.500 0.500
B1 0.189 0.189 0.189
B2 0.811 0.811 0.811

**DOS(E_F)**: 3.3 states/eV per cell
**Calculated volume**: 50.45 Å³ per cell
**Magnetic moment**: 0.000 μB per atom
**Space group**: No. 166

---

ii:
VASP calculation (PBE) on crystalline SmCoB2 at its relaxed geometry.

abc: 5.830 3.212 10.480
angles: 90.00 90.00 90.00
Positions (direct):
Sm1 0.238 0.250 0.202
Sm2 0.262 0.750 0.702
Sm3 0.738 0.250 0.298
Sm4 0.762 0.750 0.798
Co1 0.091 0.750 0.430
Co2 0.409 0.250 0.930
Co3 0.591 0.750 0.070
Co4 0.909 0.250 0.570
B1 0.060 0.250 0.948
B2 0.225 0.750 0.988
B3 0.275 0.250 0.488
B4 0.440 0.750 0.448
B5 0.560 0.250 0.552
B6 0.725 0.750 0.512
B7 0.775 0.250 0.012
B8 0.940 0.750 0.052

**DOS(E_F)**: 11.8 states/eV per cell
**Calculated volume**: 196.23 Å³ per cell
**Magnetic moment**: 0.000 μB per atom
**Space group**: No. 62

---

Which is most stable? The ranking, best first, is i, ii.

---

i:
VASP calculation (PBE) on crystalline SmCo3B2 at its relaxed geometry.

abc: 5.053 5.053 3.025
angles: 90.00 90.00 120.00
Positions (direct):
Sm1 0.000 0.000 0.000
Co1 0.000 0.500 0.500
Co2 0.500 0.000 0.500
Co3 0.500 0.500 0.500
B1 0.333 0.667 0.000
B2 0.667 0.333 0.000

**DOS(E_F)**: 3.4 states/eV per cell
**Calculated volume**: 66.91 Å³ per cell
**Magnetic moment**: 0.000 μB per atom
**Space group**: No. 191

---

ii:
VASP calculation (PBE) on crystalline SmCo3B2 at its relaxed geometry.

abc: 8.527 8.527 3.296
angles: 90.00 90.00 120.00
Positions (direct):
Sm1 0.000 0.000 0.000
Sm2 0.333 0.667 0.500
Sm3 0.667 0.333 0.500
Co1 0.000 0.286 0.500
Co2 0.000 0.500 0.000
Co3 0.000 0.714 0.500
Co4 0.286 0.000 0.500
Co5 0.286 0.286 0.500
Co6 0.500 0.000 0.000
Co7 0.500 0.500 0.000
Co8 0.714 0.000 0.500
Co9 0.714 0.714 0.500
B1 0.185 0.370 0.000
B2 0.185 0.815 0.000
B3 0.370 0.185 0.000
B4 0.630 0.815 0.000
B5 0.815 0.185 0.000
B6 0.815 0.630 0.000

**DOS(E_F)**: 17.7 states/eV per cell
**Calculated volume**: 207.54 Å³ per cell
**Magnetic moment**: 0.391 μB per atom
**Space group**: No. 191

---

iii:
VASP calculation (PBE) on crystalline SmCo3B2 at its relaxed geometry.

abc: 5.454 5.454 4.831
angles: 90.00 90.00 74.81
Positions (direct):
Sm1 0.153 0.847 0.750
Sm2 0.847 0.153 0.250
Co1 0.003 0.569 0.250
Co2 0.431 0.997 0.250
Co3 0.449 0.551 0.250
Co4 0.551 0.449 0.750
Co5 0.569 0.003 0.750
Co6 0.997 0.431 0.750
B1 0.301 0.301 0.000
B2 0.301 0.301 0.500
B3 0.699 0.699 0.000
B4 0.699 0.699 0.500

**DOS(E_F)**: 10.7 states/eV per cell
**Calculated volume**: 138.69 Å³ per cell
**Magnetic moment**: 0.001 μB per atom
**Space group**: No. 63

---

Which is most stable? The ranking, best first, is i, ii, iii.

---

i:
VASP calculation (PBE) on crystalline Co2SnB at its relaxed geometry.

abc: 4.066 4.066 4.066
angles: 60.00 60.00 60.00
Positions (direct):
Co1 0.250 0.250 0.250
Co2 0.750 0.750 0.750
Sn1 0.000 0.000 0.000
B1 0.500 0.500 0.500

**DOS(E_F)**: 1.5 states/eV per cell
**Calculated volume**: 47.55 Å³ per cell
**Magnetic moment**: 0.303 μB per atom
**Space group**: No. 225

---

ii:
VASP calculation (PBE) on crystalline Co2SnB at its relaxed geometry.

abc: 5.100 5.100 5.100
angles: 104.65 104.65 119.61
Positions (direct):
Co1 0.028 0.125 0.403
Co2 0.375 0.972 0.097
Co3 0.722 0.625 0.597
Co4 0.875 0.278 0.903
Sn1 0.250 0.750 0.500
Sn2 0.500 0.500 0.000
B1 0.000 0.000 0.000
B2 0.750 0.250 0.500

**DOS(E_F)**: 4.6 states/eV per cell
**Calculated volume**: 99.66 Å³ per cell
**Magnetic moment**: 0.000 μB per atom
**Space group**: No. 122

---

Which is most stable? The ranking, best first, is ii, i.

---

i:
VASP calculation (PBE) on crystalline TaCo3B at its relaxed geometry.

abc: 3.819 3.819 3.819
angles: 90.00 90.00 90.00
Positions (direct):
Ta1 0.000 0.000 0.000
Co1 0.000 0.500 0.500
Co2 0.500 0.000 0.500
Co3 0.500 0.500 0.000
B1 0.500 0.500 0.500

**DOS(E_F)**: 8.0 states/eV per cell
**Calculated volume**: 55.72 Å³ per cell
**Magnetic moment**: 0.189 μB per atom
**Space group**: No. 221

---

ii:
VASP calculation (PBE) on crystalline TaCo3B at its relaxed geometry.

abc: 4.463 4.463 4.463
angles: 90.00 90.00 90.00
Positions (direct):
Ta1 0.000 0.000 0.000
Co1 0.000 0.000 0.500
Co2 0.000 0.500 0.000
Co3 0.500 0.000 0.000
B1 0.500 0.500 0.500

**DOS(E_F)**: 5.1 states/eV per cell
**Calculated volume**: 88.88 Å³ per cell
**Magnetic moment**: 0.368 μB per atom
**Space group**: No. 221

---

Which is most stable? The ranking, best first, is i, ii.

---

i:
VASP calculation (PBE) on crystalline TbCo3B2 at its relaxed geometry.

abc: 5.354 5.354 4.832
angles: 90.00 90.00 78.37
Positions (direct):
Tb1 0.152 0.848 0.750
Tb2 0.848 0.152 0.250
Co1 0.002 0.580 0.250
Co2 0.420 0.998 0.250
Co3 0.456 0.544 0.250
Co4 0.544 0.456 0.750
Co5 0.580 0.002 0.750
Co6 0.998 0.420 0.750
B1 0.294 0.294 0.000
B2 0.294 0.294 0.500
B3 0.706 0.706 0.000
B4 0.706 0.706 0.500

**DOS(E_F)**: 9.4 states/eV per cell
**Calculated volume**: 135.68 Å³ per cell
**Magnetic moment**: 0.000 μB per atom
**Space group**: No. 63

---

ii:
VASP calculation (PBE) on crystalline TbCo3B2 at its relaxed geometry.

abc: 8.408 8.408 3.302
angles: 90.00 90.00 120.00
Positions (direct):
Tb1 0.000 0.000 0.000
Tb2 0.333 0.667 0.500
Tb3 0.667 0.333 0.500
Co1 0.000 0.286 0.500
Co2 0.000 0.500 0.000
Co3 0.000 0.714 0.500
Co4 0.286 0.000 0.500
Co5 0.286 0.286 0.500
Co6 0.500 0.000 0.000
Co7 0.500 0.500 0.000
Co8 0.714 0.000 0.500
Co9 0.714 0.714 0.500
B1 0.187 0.375 0.000
B2 0.187 0.813 0.000
B3 0.375 0.187 0.000
B4 0.625 0.813 0.000
B5 0.813 0.187 0.000
B6 0.813 0.625 0.000

**DOS(E_F)**: 18.7 states/eV per cell
**Calculated volume**: 202.20 Å³ per cell
**Magnetic moment**: 0.389 μB per atom
**Space group**: No. 191

---

Which is most stable? The ranking, best first, is ii, i.

---

i:
VASP calculation (PBE) on crystalline TbCo3B3 at its relaxed geometry.

abc: 6.640 6.640 6.640
angles: 90.00 90.00 90.00
Positions (direct):
Tb1 0.055 0.445 0.555
Tb2 0.445 0.555 0.055
Tb3 0.555 0.055 0.445
Tb4 0.945 0.945 0.945
Co1 0.103 0.603 0.897
Co2 0.182 0.182 0.182
Co3 0.204 0.796 0.296
Co4 0.296 0.204 0.796
Co5 0.318 0.818 0.682
Co6 0.397 0.397 0.397
Co7 0.603 0.897 0.103
Co8 0.682 0.318 0.818
Co9 0.704 0.704 0.704
Co10 0.796 0.296 0.204
Co11 0.818 0.682 0.318
Co12 0.897 0.103 0.603
B1 0.005 0.828 0.549
B2 0.049 0.495 0.172
B3 0.172 0.049 0.495
B4 0.328 0.951 0.995
B5 0.451 0.505 0.672
B6 0.495 0.172 0.049
B7 0.505 0.672 0.451
B8 0.549 0.005 0.828
B9 0.672 0.451 0.505
B10 0.828 0.549 0.005
B11 0.951 0.995 0.328
B12 0.995 0.328 0.951

**DOS(E_F)**: 24.1 states/eV per cell
**Calculated volume**: 292.77 Å³ per cell
**Magnetic moment**: 0.000 μB per atom
**Space group**: No. 198

---

ii:
VASP calculation (PBE) on crystalline TbCo3B3 at its relaxed geometry.

abc: 5.480 5.480 5.480
angles: 90.00 90.00 90.00
Positions (direct):
Tb1 0.000 0.000 0.000
Tb2 0.500 0.500 0.500
Co1 0.000 0.250 0.500
Co2 0.000 0.750 0.500
Co3 0.250 0.500 0.000
Co4 0.500 0.000 0.250
Co5 0.500 0.000 0.750
Co6 0.750 0.500 0.000
B1 0.000 0.500 0.250
B2 0.000 0.500 0.750
B3 0.250 0.000 0.500
B4 0.500 0.250 0.000
B5 0.500 0.750 0.000
B6 0.750 0.000 0.500

**DOS(E_F)**: 5.9 states/eV per cell
**Calculated volume**: 164.61 Å³ per cell
**Magnetic moment**: 0.000 μB per atom
**Space group**: No. 223

---

Which is most stable? The ranking, best first, is ii, i.